A relaxed structure of Pm4PtBr5, computed with PBE.

a = 4.1383 Å, b = 8.7583 Å, c = 9.7459 Å
α = 103.18°, β = 102.26°, γ = 90.00°
Last column: nearest neighbours and their distance in Å.
Sites, in units of the cell vectors:
1 Pm 0.6523 0.0845 0.3046  1 Pt 2.82, 4 Br 2.98-3.05
2 Pm 0.0011 0.2209 0.0021  2 Pt 2.83, 1 Br 3.10
3 Pm 0.3477 0.9155 0.6954  1 Pt 2.82, 4 Br 2.98-3.05
4 Pm 0.9989 0.7791 0.9979  2 Pt 2.83, 1 Br 3.10
5 Pt 0.5000 0.0000 0.0000  6 Pm 2.82-2.83
6 Br 0.1681 0.3353 0.3361  3 Pm 2.98-3.10
7 Br 0.1738 0.8438 0.3476  4 Pm 3.05-3.25
8 Br 0.8262 0.1562 0.6524  4 Pm 3.05-3.25
9 Br 0.5000 0.5000 0.0000  4 Pm 3.21
10 Br 0.8319 0.6647 0.6639  3 Pm 2.98-3.10

Its crystal system is monoclinic. For the total energy, the calculation gives -4.878 eV/atom. The calculation puts the uncorrected formation energy at -15.37 eV per formula unit. Its symmetry is C2/m (12). The value obtained for the volume is 335.65 Å³ per cell. As for the density of states at the Fermi level: 0.59 states/eV/atom.